Record 1
# Cd6GaAg2, optimized geometry, DFT PBE
data_Cd6GaAg2
_space_group_name_H-M_alt 'P 1'
_space_group_IT_number 1
_space_group_name_Hall 'P 1'
_cell_length_a 3.129
_cell_length_b 7.230
_cell_length_c 8.798
_cell_angle_alpha 80.71
_cell_angle_beta 79.76
_cell_angle_gamma 77.51
loop_
_atom_site_label
_atom_site_type_symbol
_atom_site_fract_x
_atom_site_fract_y
_atom_site_fract_z
Cd1 Cd 0.041 0.671 0.248
Cd2 Cd 0.766 0.359 0.110
Cd3 Cd 0.234 0.641 0.890
Cd4 Cd 0.959 0.329 0.752
Cd5 Cd 0.371 0.717 0.542
Cd6 Cd 0.629 0.283 0.458
Ag1 Ag 0.653 0.969 0.726
Ag2 Ag 0.347 0.031 0.274
Ga1 Ga 0.000 0.000 0.000
# * DFT total energy: -0.115 Ry/atom
# * ΔH_f (0 K): 0.017 eV per atom
# * volume: 190 Å³/cell
# * D(E_F): 2.80 states/eV/f.u.
# * energy above the most stable polymorph in this dataset: 0.000 eV per formula unit
# * crystal system: monoclinic

Record 2
# Ac2CdAuO5, optimized geometry, DFT PBE
data_Ac2CdAuO5
_space_group_name_H-M_alt 'P 1'
_space_group_IT_number 1
_space_group_name_Hall 'P 1'
_cell_length_a 5.900
_cell_length_b 7.343
_cell_length_c 7.343
_cell_angle_alpha 90.00
_cell_angle_beta 90.00
_cell_angle_gamma 90.00
loop_
_atom_site_label
_atom_site_type_symbol
_atom_site_fract_x
_atom_site_fract_y
_atom_site_fract_z
Ac1 Ac 0.500 0.181 0.319
Ac2 Ac 0.500 0.819 0.681
Ac3 Ac 0.500 0.319 0.819
Ac4 Ac 0.500 0.681 0.181
Cd1 Cd 0.000 0.500 0.500
Cd2 Cd 0.000 0.000 0.000
Au1 Au 0.000 0.000 0.500
Au2 Au 0.000 0.500 0.000
O1 O 0.746 0.870 0.370
O2 O 0.746 0.130 0.630
O3 O 0.746 0.370 0.130
O4 O 0.746 0.630 0.870
O5 O 0.254 0.370 0.130
O6 O 0.500 0.500 0.500
O7 O 0.500 0.000 0.000
O8 O 0.254 0.870 0.370
O9 O 0.254 0.630 0.870
O10 O 0.254 0.130 0.630
# * DFT total energy: -0.441 Ry/atom
# * volume: 318 Å³/cell
# * D(E_F): 3.18 states/eV/f.u.
# * crystal system: tetragonal

Record 3
# BaFe2Br6Cl2, optimized geometry, DFT PBE
data_BaFe2Br6Cl2
_space_group_name_H-M_alt 'P 1'
_space_group_IT_number 1
_space_group_name_Hall 'P 1'
_cell_length_a 7.249
_cell_length_b 7.249
_cell_length_c 10.239
_cell_angle_alpha 90.00
_cell_angle_beta 90.00
_cell_angle_gamma 120.00
loop_
_atom_site_label
_atom_site_type_symbol
_atom_site_fract_x
_atom_site_fract_y
_atom_site_fract_z
Br1 Br 0.635 0.626 0.185
Br2 Br 0.365 0.374 0.815
Br3 Br 0.991 0.365 0.185
Br4 Br 0.009 0.635 0.815
Br5 Br 0.626 0.991 0.815
Br6 Br 0.374 0.009 0.185
Fe1 Fe 0.667 0.333 0.265
Fe2 Fe 0.333 0.667 0.735
Cl1 Cl 0.333 0.667 0.525
Cl2 Cl 0.667 0.333 0.475
Ba1 Ba 0.000 0.000 0.000
# * DFT total energy: -0.291 Ry/atom
# * volume: 466 Å³/cell
# * crystal system: trigonal

Record 4
# Tb3NdTc, optimized geometry, DFT PBE
data_Tb3NdTc
_space_group_name_H-M_alt 'P 1'
_space_group_IT_number 1
_space_group_name_Hall 'P 1'
_cell_length_a 3.825
_cell_length_b 8.735
_cell_length_c 8.777
_cell_angle_alpha 101.80
_cell_angle_beta 90.00
_cell_angle_gamma 90.00
loop_
_atom_site_label
_atom_site_type_symbol
_atom_site_fract_x
_atom_site_fract_y
_atom_site_fract_z
Nd1 Nd 0.750 0.330 0.488
Nd2 Nd 0.250 0.670 0.512
Tb1 Tb 0.750 0.923 0.316
Tb2 Tb 0.750 0.528 0.164
Tb3 Tb 0.250 0.160 0.110
Tb4 Tb 0.250 0.077 0.684
Tb5 Tb 0.750 0.840 0.890
Tb6 Tb 0.250 0.472 0.836
Tc1 Tc 0.250 0.763 0.100
Tc2 Tc 0.750 0.237 0.900
# * DFT total energy: -0.430 Ry/atom
# * ΔH_f (0 K): -0.043 eV per atom
# * volume: 287 Å³/cell
# * D(E_F): 4.95 states/eV/f.u.
# * energy above the most stable polymorph in this dataset: 0.000 eV per formula unit
# * crystal system: monoclinic

Record 5
# NaAcLuPb, optimized geometry, DFT PBE
data_NaAcLuPb
_space_group_name_H-M_alt 'P 1'
_space_group_IT_number 1
_space_group_name_Hall 'P 1'
_cell_length_a 5.701
_cell_length_b 5.701
_cell_length_c 5.701
_cell_angle_alpha 60.00
_cell_angle_beta 60.00
_cell_angle_gamma 60.00
loop_
_atom_site_label
_atom_site_type_symbol
_atom_site_fract_x
_atom_site_fract_y
_atom_site_fract_z
Na1 Na 0.250 0.250 0.250
Pb1 Pb 0.000 0.000 0.000
Lu1 Lu 0.750 0.750 0.750
Ac1 Ac 0.500 0.500 0.500
# * DFT total energy: -0.242 Ry/atom
# * ΔH_f (0 K): 0.116 eV per atom
# * volume: 131 Å³/cell
# * D(E_F): 4.38 states/eV/f.u.
# * crystal system: cubic

Record 6
# Hf2Al2Ge, optimized geometry, DFT PBE
data_Hf2Al2Ge
_space_group_name_H-M_alt 'P 1'
_space_group_IT_number 1
_space_group_name_Hall 'P 1'
_cell_length_a 6.948
_cell_length_b 6.948
_cell_length_c 4.214
_cell_angle_alpha 90.00
_cell_angle_beta 90.00
_cell_angle_gamma 90.00
loop_
_atom_site_label
_atom_site_type_symbol
_atom_site_fract_x
_atom_site_fract_y
_atom_site_fract_z
Hf1 Hf 0.159 0.341 0.000
Hf2 Hf 0.659 0.159 0.000
Hf3 Hf 0.841 0.659 0.000
Hf4 Hf 0.341 0.841 0.000
Al1 Al 0.640 0.860 0.500
Al2 Al 0.360 0.140 0.500
Al3 Al 0.860 0.360 0.500
Al4 Al 0.140 0.640 0.500
Ge1 Ge 0.000 0.000 0.000
Ge2 Ge 0.500 0.500 0.000
# * DFT total energy: -0.488 Ry/atom
# * ΔH_f (0 K): -0.239 eV per atom
# * volume: 203 Å³/cell
# * D(E_F): 1.22 states/eV/f.u.
# * energy above the most stable polymorph in this dataset: 0.000 eV per formula unit
# * crystal system: tetragonal

Record 7
# KCdTc3, optimized geometry, DFT PBE
data_KCdTc3
_space_group_name_H-M_alt 'P 1'
_space_group_IT_number 1
_space_group_name_Hall 'P 1'
_cell_length_a 4.579
_cell_length_b 4.579
_cell_length_c 4.579
_cell_angle_alpha 90.00
_cell_angle_beta 90.00
_cell_angle_gamma 90.00
loop_
_atom_site_label
_atom_site_type_symbol
_atom_site_fract_x
_atom_site_fract_y
_atom_site_fract_z
Cd1 Cd 0.500 0.500 0.500
Tc1 Tc 0.000 0.500 0.000
Tc2 Tc 0.500 0.000 0.000
Tc3 Tc 0.000 0.000 0.500
K1 K 0.000 0.000 0.000
# * DFT total energy: -0.273 Ry/atom
# * ΔH_f (0 K): 2.910 eV per atom
# * volume: 96 Å³/cell
# * D(E_F): 6.24 states/eV/f.u.
# * energy above the most stable polymorph in this dataset: 2.978 eV per formula unit
# * crystal system: cubic

Record 8
# PrPaRu, optimized geometry, DFT PBE
data_PrPaRu
_space_group_name_H-M_alt 'P 1'
_space_group_IT_number 1
_space_group_name_Hall 'P 1'
_cell_length_a 4.978
_cell_length_b 4.978
_cell_length_c 6.531
_cell_angle_alpha 90.00
_cell_angle_beta 90.00
_cell_angle_gamma 90.00
loop_
_atom_site_label
_atom_site_type_symbol
_atom_site_fract_x
_atom_site_fract_y
_atom_site_fract_z
Ru1 Ru 0.500 0.000 0.654
Ru2 Ru 0.000 0.500 0.346
Pa1 Pa 0.500 0.500 0.500
Pa2 Pa 0.000 0.000 0.500
Pr1 Pr 0.500 0.000 0.122
Pr2 Pr 0.000 0.500 0.878
# * DFT total energy: -0.599 Ry/atom
# * ΔH_f (0 K): -0.293 eV per atom
# * volume: 162 Å³/cell
# * D(E_F): 3.19 states/eV/f.u.
# * energy above the most stable polymorph in this dataset: 0.000 eV per formula unit
# * crystal system: tetragonal